No. 1
The following is a PBE calculation of crystalline ScTlHgTe3 at its relaxed geometry, from the Open Quantum Materials Database.

Cell and atoms, written as POSCAR:
```
ScTlHgTe3
1.0
8.5900 0.0000 0.0000
0.0000 4.2951 0.0000
-3.4627 0.0000 10.3689
Sc Tl Hg Te
2 2 2 6
direct
0.1766 0.2500 0.1447
0.8234 0.7500 0.8553
0.2562 0.7500 0.7225
0.7438 0.2500 0.2775
0.4193 0.7500 0.3877
0.5807 0.2500 0.6123
0.0609 0.2500 0.8645
0.2218 0.2500 0.4383
0.4129 0.7500 0.1310
0.5871 0.2500 0.8690
0.7782 0.7500 0.5617
0.9391 0.7500 0.1355
```

Properties
E above lowest polymorph ... 0.000 eV per atom
Space group ... P2_1/m

---

No. 2
The following is a PBE calculation of crystalline ScTlHg at its relaxed geometry, from the Open Quantum Materials Database.

Cell and atoms, written as POSCAR:
```
ScTlHg
1.0
0.0000 3.4170 3.4170
3.4170 0.0000 3.4170
3.4170 3.4170 0.0000
Sc Tl Hg
1 1 1
direct
0.0000 0.0000 0.0000
0.2500 0.2500 0.2500
0.7500 0.7500 0.7500
```

Properties
E above lowest polymorph ... 0.144 eV per atom
Space group ... F-43m

---

No. 3
The following is a PBE calculation of crystalline ScTlHg at its relaxed geometry, from the Open Quantum Materials Database.

Cell and atoms, written as POSCAR:
```
ScTlHg
1.0
0.0000 3.3662 3.3662
3.3662 0.0000 3.3662
3.3662 3.3662 0.0000
Sc Tl Hg
1 1 1
direct
0.0000 0.0000 0.0000
0.5000 0.5000 0.5000
0.2500 0.2500 0.2500
```

Properties
E above lowest polymorph ... 0.000 eV per atom
Space group ... F-43m

---

No. 4
The following is a PBE calculation of crystalline ScHgW at its relaxed geometry, from the Open Quantum Materials Database.

Cell and atoms, written as POSCAR:
```
ScHgW
1.0
0.0000 3.2236 3.2236
3.2236 0.0000 3.2236
3.2236 3.2236 0.0000
Sc Hg W
1 1 1
direct
0.0000 0.0000 0.0000
0.2500 0.2500 0.2500
0.5000 0.5000 0.5000
```

Properties
E above lowest polymorph ... 0.000 eV per atom
DFT formation energy ... 1.0104 eV per atom
Space group ... F-43m

---

No. 5
The following is a PBE calculation of crystalline ScHgW2 at its relaxed geometry, from the Open Quantum Materials Database.

Cell and atoms, written as POSCAR:
```
ScHgW2
1.0
0.0000 3.2937 3.2937
3.2937 0.0000 3.2937
3.2937 3.2937 0.0000
Sc Hg W
1 1 2
direct
0.0000 0.0000 0.0000
0.2500 0.2500 0.2500
0.5000 0.5000 0.5000
0.7500 0.7500 0.7500
```

Properties
DFT formation energy ... 0.3526 eV per atom
Space group ... F-43m

---

No. 6
The following is a PBE calculation of crystalline YScHg at its relaxed geometry, from the Open Quantum Materials Database.

Cell and atoms, written as POSCAR:
```
YScHg
1.0
6.5240 0.0000 0.0000
0.0000 5.0922 0.0000
0.0000 0.0000 9.0450
Y Sc Hg
4 4 4
direct
0.1872 0.2500 0.0777
0.3128 0.7500 0.5777
0.6872 0.2500 0.4223
0.8128 0.7500 0.9223
0.0136 0.2500 0.7066
0.4864 0.7500 0.2066
0.5136 0.2500 0.7934
0.9864 0.7500 0.2934
0.2189 0.2500 0.4061
0.2811 0.7500 0.9061
0.7189 0.2500 0.0939
0.7811 0.7500 0.5939
```

Properties
E above lowest polymorph ... 0.000 eV per atom
DFT formation energy ... -0.3560 eV per atom
Space group ... Pnma

---

No. 7
The following is a PBE calculation of crystalline YScHg6 at its relaxed geometry, from the Open Quantum Materials Database.

Cell and atoms, written as POSCAR:
```
YScHg6
1.0
6.5360 0.0000 0.0000
-3.2680 5.6603 0.0000
0.0000 0.0000 4.9549
Y Sc Hg
1 1 6
direct
0.0000 0.0000 0.0000
0.3333 0.6667 0.5000
0.0089 0.5044 0.0000
0.3367 0.1683 0.5000
0.4956 0.5044 0.0000
0.4956 0.9911 0.0000
0.8317 0.1683 0.5000
0.8317 0.6633 0.5000
```

Properties
DFT formation energy ... -0.2886 eV per atom
Space group ... P-6m2

---

No. 8
The following is a PBE calculation of crystalline Sc2Zn3Hg3 at its relaxed geometry, from the Open Quantum Materials Database.

Cell and atoms, written as POSCAR:
```
Sc2Zn3Hg3
1.0
6.2373 0.0000 0.0000
-3.1186 5.4016 0.0000
0.0000 0.0000 4.6058
Sc Zn Hg
2 3 3
direct
0.0000 0.0000 0.0000
0.3333 0.6667 0.5000
0.0051 0.5025 0.0000
0.4975 0.5025 0.0000
0.4975 0.9949 0.0000
0.3404 0.1702 0.5000
0.8298 0.1702 0.5000
0.8298 0.6596 0.5000
```

Properties
E above lowest polymorph ... 0.014 eV per atom
DFT formation energy ... -0.2361 eV per atom
Space group ... P-6m2

---

No. 9
The following is a PBE calculation of crystalline ScZnHg2 at its relaxed geometry, from the Open Quantum Materials Database.

Cell and atoms, written as POSCAR:
```
ScZnHg2
1.0
4.7127 0.0000 0.0000
0.0000 3.1456 5.4672
0.0000 -3.1456 5.4672
Sc Zn Hg
2 2 4
direct
0.0000 0.0000 0.0000
0.5000 0.3327 0.3327
0.0000 0.9995 0.5020
0.0000 0.5020 0.9995
0.0000 0.4909 0.4909
0.5000 0.3376 0.8456
0.5000 0.8323 0.8323
0.5000 0.8456 0.3376
```

Properties
DFT formation energy ... -0.2315 eV per atom
Space group ... Amm2

---

No. 10
The following is a PBE calculation of crystalline ScZnHg2 at its relaxed geometry, from the Open Quantum Materials Database.

Cell and atoms, written as POSCAR:
```
ScZnHg2
1.0
4.7396 0.0000 0.0000
0.0000 5.5842 3.1035
0.0000 -5.5842 3.1035
Sc Zn Hg
2 2 4
direct
0.2500 0.1770 0.8230
0.7500 0.8230 0.1770
0.2500 0.1744 0.3141
0.7500 0.3141 0.1744
0.2500 0.6408 0.3239
0.2500 0.6843 0.8528
0.7500 0.3239 0.6408
0.7500 0.8528 0.6843
```

Properties
DFT formation energy ... -0.2353 eV per atom
Space group ... Ama2

---

No. 11
The following is a PBE calculation of crystalline ScZnHg2 at its relaxed geometry, from the Open Quantum Materials Database.

Cell and atoms, written as POSCAR:
```
ScZnHg2
1.0
0.0000 3.4288 3.4288
3.4288 0.0000 3.4288
3.4288 3.4288 0.0000
Sc Zn Hg
1 1 2
direct
0.0000 0.0000 0.0000
0.7500 0.7500 0.7500
0.2500 0.2500 0.2500
0.5000 0.5000 0.5000
```

Properties
DFT formation energy ... -0.1642 eV per atom
Space group ... F-43m

---

No. 12
The following is a PBE calculation of crystalline Sc2Zn3Hg3 at its relaxed geometry, from the Open Quantum Materials Database.

Cell and atoms, written as POSCAR:
```
Sc2Zn3Hg3
1.0
6.1536 0.0000 0.0000
0.0000 4.6469 0.0000
-2.9935 0.0000 5.4044
Sc Zn Hg
2 3 3
direct
0.0000 0.0000 0.0000
0.3299 0.5000 0.6704
0.3365 0.5000 0.1861
0.4891 0.0000 0.4794
0.8302 0.5000 0.1689
0.0024 0.0000 0.4879
0.4990 0.0000 0.0096
0.8142 0.5000 0.6712
```

Properties
E above lowest polymorph ... 0.000 eV per atom
DFT formation energy ... -0.2496 eV per atom
Space group ... Pm

---

| no. | ρ (g/cm3) |
| --- | --- |
| 1 | 7.2 |
| 2 | 9.4 |
| 3 | 9.8 |
| 4 | 10.6 |
| 5 | 14.2 |
| 6 | 7.4 |
| 7 | 12.1 |
| 8 | 9.5 |
| 9 | 10.5 |
| 10 | 10.3 |
| 11 | 10.5 |
| 12 | 9.5 |